Record 1
ErPaGaO6: optimized geometry, GGA-PBE.

Unit cell a=4.778 b=5.393 c=5.393 alpha=120.00 beta=90.00 gamma=90.00
Fractional positions:
O  0.738  0.016  0.320
O  0.262  0.016  0.696
O  0.738  0.680  0.696
O  0.262  0.680  0.984
O  0.262  0.304  0.320
O  0.738  0.304  0.984
Ga  0.500  0.000  0.000
Pa  0.000  0.333  0.667
Er  0.500  0.667  0.333

Output
formation energy (no corrections)	-24.60	eV/f.u.
calculated total energy	-7.94	eV per atom
V	120.37	Å³/cell


Record 2
ErPaGa2O8: optimized geometry, GGA-PBE.

Unit cell a=5.980 b=5.980 c=5.980 alpha=108.39 beta=108.39 gamma=111.65
Fractional positions:
O  0.753  0.060  0.692
O  0.510  0.696  0.815
O  0.940  0.247  0.308
O  0.881  0.696  0.185
O  0.304  0.119  0.815
O  0.304  0.490  0.185
O  0.940  0.632  0.692
O  0.368  0.060  0.308
Pa  0.000  0.000  0.000
Ga  0.750  0.250  0.500
Ga  0.500  0.500  0.000
Er  0.250  0.750  0.500

Output
formation energy (no corrections)	-28.47	eV/f.u.
calculated total energy	-7.35	eV per atom
V	164.45	Å³/cell


Record 3
ErGaPbO4: optimized geometry, GGA-PBE.

Unit cell a=5.868 b=5.826 c=6.960 alpha=90.00 beta=102.94 gamma=90.00
Fractional positions:
O  0.505  0.250  0.414
O  0.930  0.489  0.680
O  0.070  0.989  0.320
O  0.500  0.750  0.179
O  0.930  0.011  0.680
O  0.500  0.250  0.821
O  0.495  0.750  0.586
O  0.070  0.511  0.320
Er  0.186  0.250  0.564
Er  0.814  0.750  0.436
Ga  0.711  0.250  0.660
Ga  0.289  0.750  0.340
Pb  0.711  0.750  0.891
Pb  0.289  0.250  0.109

Output
formation energy (no corrections)	-15.03	eV/f.u.
calculated total energy	-6.59	eV per atom
V	231.91	Å³/cell


Record 4
ErPuGaO6: optimized geometry, GGA-PBE.

Unit cell a=5.292 b=5.292 c=9.813 alpha=90.00 beta=90.00 gamma=120.00
Fractional positions:
Er  0.000  0.000  0.000
Er  0.000  0.000  0.500
O  0.008  0.353  0.137
O  0.353  0.008  0.637
O  0.345  0.992  0.137
O  0.345  0.353  0.363
O  0.992  0.647  0.863
O  0.655  0.647  0.637
O  0.992  0.345  0.637
O  0.647  0.655  0.137
O  0.647  0.992  0.363
O  0.008  0.655  0.363
O  0.655  0.008  0.863
O  0.353  0.345  0.863
Pu  0.667  0.333  0.250
Pu  0.333  0.667  0.750
Ga  0.667  0.333  0.750
Ga  0.333  0.667  0.250

Output
formation energy (no corrections)	-23.12	eV/f.u.
calculated total energy	-8.31	eV per atom
V	237.98	Å³/cell


Record 5
RbEr4Ga3O12: optimized geometry, GGA-PBE.

Unit cell a=7.083 b=7.083 c=7.083 alpha=109.47 beta=109.47 gamma=109.47
Fractional positions:
Er  0.500  0.500  0.500
Er  0.000  0.500  0.000
Er  0.000  0.000  0.500
Er  0.500  0.000  0.000
O  0.492  0.330  0.162
O  0.670  0.838  0.508
O  0.831  0.670  0.162
O  0.670  0.162  0.831
O  0.508  0.670  0.838
O  0.169  0.330  0.838
O  0.330  0.838  0.169
O  0.330  0.162  0.492
O  0.162  0.831  0.670
O  0.838  0.508  0.670
O  0.162  0.492  0.330
O  0.838  0.169  0.330
Ga  0.000  0.500  0.500
Ga  0.500  0.000  0.500
Ga  0.500  0.500  0.000
Rb  0.000  0.000  0.000

Output
formation energy (no corrections)	-48.30	eV/f.u.
calculated total energy	-6.81	eV per atom
V	273.59	Å³/cell


Record 6
Rb3ErGa2O6: optimized geometry, GGA-PBE.

Unit cell a=6.166 b=6.166 c=7.401 alpha=90.00 beta=90.00 gamma=120.00
Fractional positions:
Rb  0.667  0.333  0.248
Rb  0.000  0.000  0.000
Rb  0.333  0.667  0.752
O  0.668  0.834  0.308
O  0.834  0.166  0.692
O  0.332  0.166  0.692
O  0.834  0.668  0.692
O  0.166  0.332  0.308
O  0.166  0.834  0.308
Ga  0.667  0.333  0.690
Ga  0.333  0.667  0.310
Er  0.000  0.000  0.500

Output
formation energy (no corrections)	-23.91	eV/f.u.
calculated total energy	-5.60	eV per atom
V	243.70	Å³/cell


Record 7
Rb4Er3GaO8: optimized geometry, GGA-PBE.

Unit cell a=6.799 b=7.608 c=6.802 alpha=116.56 beta=119.99 gamma=90.00
Fractional positions:
O  0.784  0.328  0.045
O  0.261  0.328  0.045
O  0.216  0.672  0.955
O  0.217  0.672  0.434
O  0.275  0.326  0.551
O  0.739  0.672  0.955
O  0.783  0.328  0.566
O  0.725  0.674  0.449
Er  0.500  0.500  0.500
Er  0.000  0.500  0.500
Er  0.500  0.500  0.000
Ga  0.000  0.500  0.000
Rb  0.500  0.000  0.000
Rb  0.000  0.000  0.000
Rb  0.500  0.000  0.500
Rb  0.000  0.000  0.500

Output
formation energy (no corrections)	-38.06	eV/f.u.
calculated total energy	-6.14	eV per atom
V	261.00	Å³/cell


Record 8
RbEr3Ga4O12: optimized geometry, GGA-PBE.

Unit cell a=7.281 b=7.281 c=7.281 alpha=108.23 beta=108.23 gamma=108.23
Fractional positions:
O  0.921  0.212  0.350
O  0.904  0.500  0.096
O  0.650  0.788  0.079
O  0.350  0.921  0.212
O  0.079  0.650  0.788
O  0.788  0.079  0.650
O  0.096  0.904  0.500
O  0.653  0.500  0.347
O  0.212  0.350  0.921
O  0.500  0.096  0.904
O  0.347  0.653  0.500
O  0.500  0.347  0.653
Rb  0.000  0.000  0.000
Ga  0.500  0.500  0.500
Ga  0.057  0.500  0.943
Ga  0.500  0.943  0.057
Ga  0.943  0.057  0.500
Er  0.446  0.000  0.554
Er  0.554  0.446  0.000
Er  0.000  0.554  0.446

Output
formation energy (no corrections)	-43.41	eV/f.u.
calculated total energy	-6.48	eV per atom
V	310.00	Å³/cell